Below is a relaxed structure of TbPmEr4S8, with properties calculated at the GGA-PBE level.

Calculated values
DFT total energy ... -87.59 eV for the cell shown
D(E_F) ... 0.595 states/eV/atom
Space-group type ... R3m, No. 160

```
TbPmEr4S8
1.0
4.0148 2.3179 6.5855
-4.0148 2.3179 6.5855
0.0000 -4.6359 6.5855
Tb Pm Er S
1 1 4 8
direct
0.0000 0.0000 0.0000
0.6253 0.6253 0.6253
0.0001 0.0001 0.4976
0.0001 0.4976 0.0001
0.3741 0.3741 0.3741
0.4976 0.0001 0.0001
0.2179 0.7578 0.7578
0.2421 0.2421 0.2421
0.2450 0.2450 0.7693
0.2450 0.7693 0.2450
0.7578 0.2179 0.7578
0.7578 0.7578 0.2179
0.7613 0.7613 0.7613
0.7693 0.2450 0.2450
```



Below is a relaxed structure of EuHgSbAu, with properties calculated at the GGA-PBE level.

Calculated values
DFT total energy ... -79.83 eV for the cell shown
D(E_F) ... 1.766 states/eV/atom
Space-group type ... F-43m, No. 216

```
EuHgSbAu
1.0
7.3821 0.0000 0.0000
0.0000 7.3821 0.0000
0.0000 0.0000 7.3821
Eu Hg Sb Au
4 4 4 4
direct
0.0000 0.0000 0.0000
0.0000 0.5000 0.5000
0.5000 0.0000 0.5000
0.5000 0.5000 0.0000
0.2500 0.2500 0.2500
0.2500 0.7500 0.7500
0.7500 0.2500 0.7500
0.7500 0.7500 0.2500
0.0000 0.0000 0.5000
0.0000 0.5000 0.0000
0.5000 0.0000 0.0000
0.5000 0.5000 0.5000
0.2500 0.2500 0.7500
0.2500 0.7500 0.2500
0.7500 0.2500 0.2500
0.7500 0.7500 0.7500
```



Below is a relaxed structure of YNi2Ge3, with properties calculated at the GGA-PBE level.

Calculated values
DFT total energy ... -68.43 eV for the cell shown
Formation energy from the elements ... -37.6 kJ per mole of atoms
D(E_F) ... 0.653 states/eV/atom
Space-group type ... Cmcm, No. 63

```
YNi2Ge3
1.0
4.7451 -3.7861 0.0000
4.7451 3.7861 0.0000
0.0000 0.0000 5.5232
Y Ni Ge
2 4 6
direct
0.1590 0.8410 0.7500
0.8410 0.1590 0.2500
0.2855 0.2855 0.0000
0.2855 0.2855 0.5000
0.7145 0.7145 0.0000
0.7145 0.7145 0.5000
0.0384 0.6315 0.2500
0.3685 0.9616 0.2500
0.4686 0.5314 0.2500
0.5314 0.4686 0.7500
0.6315 0.0384 0.7500
0.9616 0.3685 0.7500
```



Below is a relaxed structure of Co2NiW, with properties calculated at the GGA-PBE level.

Calculated values
DFT total energy ... -33.08 eV for the cell shown
Formation energy from the elements ... -3.2 kJ per mole of atoms
D(E_F) ... 0.320 states/eV/atom
Space-group type ... P4/mmm, No. 123

```
Co2NiW
1.0
3.6567 0.0000 0.0000
0.0000 3.6567 0.0000
0.0000 0.0000 3.5154
Co Ni W
2 1 1
direct
0.0000 0.5000 0.0000
0.5000 0.0000 0.0000
0.0000 0.0000 0.5000
0.5000 0.5000 0.5000
```



Below is a relaxed structure of BeZnI2, with properties calculated at the GGA-PBE level.

Calculated values
DFT total energy ... -33.13 eV for the cell shown
D(E_F) ... 0.000 states/eV/atom
Space-group type ... I-42d, No. 122

```
BeZnI2
1.0
7.6548 0.0000 0.0000
0.0000 7.6548 0.0000
0.0000 0.0000 9.6183
Be Zn I
4 4 8
direct
0.0000 0.0000 0.0000
0.0000 0.5000 0.2500
0.5000 0.0000 0.7500
0.5000 0.5000 0.5000
0.0000 0.0000 0.5000
0.0000 0.5000 0.7500
0.5000 0.0000 0.2500
0.5000 0.5000 0.0000
0.1253 0.7500 0.1250
0.2500 0.1253 0.8750
0.2500 0.3747 0.3750
0.3747 0.7500 0.6250
0.6253 0.2500 0.6250
0.7500 0.6253 0.3750
0.7500 0.8747 0.8750
0.8747 0.2500 0.1250
```



Below is a relaxed structure of TlP2Br, with properties calculated at the GGA-PBE level.

Calculated values
DFT total energy ... -11.55 eV for the cell shown
D(E_F) ... 0.493 states/eV/atom
Space-group type ... P4/mmm, No. 123

```
TlP2Br
1.0
5.1409 0.0000 0.0000
0.0000 5.1409 0.0000
0.0000 0.0000 3.2606
Tl P Br
1 2 1
direct
0.0000 0.0000 0.0000
0.0000 0.5000 0.5000
0.5000 0.0000 0.5000
0.5000 0.5000 0.0000
```



Below is a relaxed structure of ScP5, with properties calculated at the GGA-PBE level.

Calculated values
DFT total energy ... -69.90 eV for the cell shown
Formation energy from the elements ... -25.2 kJ per mole of atoms
D(E_F) ... 0.119 states/eV/atom
Space-group type ... Cm, No. 8

```
ScP5
1.0
10.4959 0.0000 0.0000
0.0000 3.3473 0.0000
-4.4061 0.0000 6.7277
Sc P
2 10
direct
0.0000 0.0000 0.0000
0.5000 0.5000 0.0000
0.1892 0.5000 0.2749
0.2759 0.0000 0.9964
0.2907 0.5000 0.5971
0.3764 0.5000 0.2270
0.4620 0.0000 0.6902
0.6892 0.0000 0.2749
0.7759 0.5000 0.9964
0.7907 0.0000 0.5971
0.8764 0.0000 0.2270
0.9620 0.5000 0.6902
```



Below is a relaxed structure of Li2ZnO, with properties calculated at the GGA-PBE level.

Calculated values
DFT total energy ... -48.56 eV for the cell shown
D(E_F) ... 0.000 states/eV/atom
Space-group type ... Fm-3m, No. 225

```
Li2ZnO
1.0
5.8008 0.0000 0.0000
0.0000 5.8008 0.0000
0.0000 0.0000 5.8008
Li Zn O
8 4 4
direct
0.2500 0.2500 0.2500
0.2500 0.2500 0.7500
0.2500 0.7500 0.2500
0.2500 0.7500 0.7500
0.7500 0.2500 0.2500
0.7500 0.2500 0.7500
0.7500 0.7500 0.2500
0.7500 0.7500 0.7500
0.0000 0.0000 0.0000
0.0000 0.5000 0.5000
0.5000 0.0000 0.5000
0.5000 0.5000 0.0000
0.0000 0.0000 0.5000
0.0000 0.5000 0.0000
0.5000 0.0000 0.0000
0.5000 0.5000 0.5000
```



Question: What is the D(E_F) in the sixth record?
Answer: 0.493 states/eV/atom



Copy entry 2 word for word.
Below is a relaxed structure of EuHgSbAu, with properties calculated at the GGA-PBE level.

Calculated values
DFT total energy ... -79.83 eV for the cell shown
D(E_F) ... 1.766 states/eV/atom
Space-group type ... F-43m, No. 216

```
EuHgSbAu
1.0
7.3821 0.0000 0.0000
0.0000 7.3821 0.0000
0.0000 0.0000 7.3821
Eu Hg Sb Au
4 4 4 4
direct
0.0000 0.0000 0.0000
0.0000 0.5000 0.5000
0.5000 0.0000 0.5000
0.5000 0.5000 0.0000
0.2500 0.2500 0.2500
0.2500 0.7500 0.7500
0.7500 0.2500 0.7500
0.7500 0.7500 0.2500
0.0000 0.0000 0.5000
0.0000 0.5000 0.0000
0.5000 0.0000 0.0000
0.5000 0.5000 0.5000
0.2500 0.2500 0.7500
0.2500 0.7500 0.2500
0.7500 0.2500 0.2500
0.7500 0.7500 0.7500
```